Compound: NbTl2Mo
Source: the Alexandria database
Functional: PBE
Structure: optimized geometry

Unit cell a=4.8051 b=4.8051 c=4.8051 alpha=60.00 beta=60.00 gamma=60.00
Closest atoms and distances in Å follow each position.
Sites, in units of the cell vectors:
Nb  0.0000  0.0000  0.0000  8 Tl 2.94
Tl  0.2500  0.2500  0.2500  4 Mo 2.94, 4 Nb 2.94
Tl  0.7500  0.7500  0.7500  4 Mo 2.94, 4 Nb 2.94
Mo  0.5000  0.5000  0.5000  8 Tl 2.94

Calculated values
ΔE to the lowest computed polymorph: 0.0000 eV/atom
Magnetic moment: 0.00 μB per formula unit
Theoretical density: 12649 kg/m3
E: -5.65 eV/atom
DFT formation energy: 762 meV per atom